A plane-wave DFT calculation with PBE-GGA was carried out for a geometry-optimized Li3ThIn3 structure.

## Properties
SG	Pm-3n (223)
energy	-38.931	eV for the cell shown

The structure in extended XYZ format:
```
14
Lattice="6.969 0.000 0.000 0.000 6.969 0.000 0.000 0.000 6.969" Properties=species:S:1:pos:R:3 pbc="T T T"
Li 0.000 1.742 3.485
In 0.000 3.485 1.742
In 0.000 3.485 5.227
Th 0.000 0.000 0.000
Li 3.485 0.000 5.227
In 1.742 0.000 3.485
In 3.485 5.227 0.000
In 3.485 1.742 0.000
Li 0.000 5.227 3.485
Li 5.227 3.485 0.000
Li 1.742 3.485 0.000
In 5.227 0.000 3.485
Li 3.485 0.000 1.742
Th 3.485 3.485 3.485
```

***

A plane-wave DFT calculation with PBE-GGA was carried out for a geometry-optimized Li3ThIn4 structure.

## Properties
SG	R-3m (166)
energy	-26.203	eV for the cell shown

The structure in extended XYZ format:
```
8
Lattice="4.569 0.000 1.349 2.085 4.065 1.349 -0.319 -0.195 9.493" Properties=species:S:1:pos:R:3 pbc="T T T"
In 3.959 2.418 3.415
Li 3.168 1.935 6.095
In 0.654 0.400 6.197
In 2.377 1.452 8.774
Th 0.000 0.000 0.000
In 5.681 3.471 5.993
Li 1.509 0.922 3.300
Li 4.826 2.948 8.889
```

***

A plane-wave DFT calculation with PBE-GGA was carried out for a geometry-optimized LiTh4In15 structure.

## Properties
SG	P4/mmm (123)
energy	-78.696	eV for the cell shown

The structure in extended XYZ format:
```
20
Lattice="-0.132 -3.571 -3.074 4.075 1.457 -1.868 11.753 -13.467 15.134" Properties=species:S:1:pos:R:3 pbc="T T T"
In 5.811 -8.519 6.030
Th 4.674 -5.355 6.019
Li 0.000 0.000 0.000
In 5.512 -3.252 3.539
In 1.971 -1.057 -2.471
In 6.654 -6.422 3.558
In 10.631 -14.041 12.237
In 4.282 -3.704 0.504
Th 9.479 -10.861 12.206
In 3.094 -0.482 0.427
In 3.408 -5.766 2.936
In 12.734 -11.527 12.840
In 8.213 -11.272 9.124
In 7.914 -6.005 6.633
Th 2.275 -2.606 2.929
In 9.042 -9.158 6.634
In 11.415 -11.876 9.688
Th 7.079 -8.111 9.116
In 10.317 -8.758 9.727
In 0.990 -2.996 -0.177
```

***

A plane-wave DFT calculation with PBE-GGA was carried out for a geometry-optimized Li2ThIn2 structure.

## Properties
SG	R-3m (166)
energy	-17.528	eV for the cell shown

The structure in extended XYZ format:
```
5
Lattice="4.218 0.001 1.834 1.709 3.856 1.834 -0.575 -0.374 7.089" Properties=species:S:1:pos:R:3 pbc="T T T"
Li 3.644 0.999 6.037
In 2.375 0.174 3.188
Th 0.855 1.928 0.917
In 2.977 3.309 7.569
Li 1.709 2.484 4.720
```

***

A plane-wave DFT calculation with PBE-GGA was carried out for a geometry-optimized LiTh3In3 structure.

## Properties
SG	C2/m (12)
energy	-67.738	eV for the cell shown

The structure in extended XYZ format:
```
14
Lattice="4.649 0.000 0.700 2.291 5.806 0.571 0.184 0.085 14.562" Properties=species:S:1:pos:R:3 pbc="T T T"
In 5.778 4.243 8.990
Th 4.447 4.205 2.045
Th 3.308 1.948 9.604
Li 3.782 0.515 6.459
Li 3.343 5.375 9.373
In 1.347 1.648 6.843
In 0.688 0.932 11.213
In 2.636 4.906 14.066
In 6.436 4.958 4.620
Th 1.837 1.622 3.585
Th 5.287 4.268 12.248
Th 3.816 3.943 6.228
In 4.489 0.985 1.767
Th 2.678 1.685 13.788
```

***

A plane-wave DFT calculation with PBE-GGA was carried out for a geometry-optimized LiTh2In9 structure.

## Properties
SG	P4/mmm (123)
energy	-44.560	eV for the cell shown

The structure in extended XYZ format:
```
12
Lattice="4.698 0.000 0.000 0.000 4.698 0.000 0.000 0.000 13.955" Properties=species:S:1:pos:R:3 pbc="T T T"
Th 0.000 0.000 9.359
In 2.349 0.000 6.978
In 0.000 2.349 6.978
In 2.349 2.349 0.000
In 2.349 2.349 4.606
In 0.000 2.349 2.132
Th 0.000 0.000 4.596
In 2.349 0.000 2.132
In 2.349 0.000 11.823
In 0.000 2.349 11.823
Li 0.000 0.000 0.000
In 2.349 2.349 9.349
```

***

A plane-wave DFT calculation with PBE-GGA was carried out for a geometry-optimized Li2Th2In3 structure.

## Properties
SG	Cmcm (63)
energy	-57.223	eV for the cell shown

The structure in extended XYZ format:
```
14
Lattice="-2.531 -2.441 -3.281 5.237 -4.962 -0.348 -3.199 -4.006 8.973" Properties=species:S:1:pos:R:3 pbc="T T T"
Li -0.060 -6.039 1.014
In 0.476 -4.163 -0.795
Th 3.536 -4.180 0.382
In -2.480 -5.415 2.417
Th -4.029 -7.229 4.961
Li -0.434 -5.370 4.329
Th -0.412 -8.541 3.147
In 1.986 -5.994 2.927
In -1.609 -2.187 -0.657
In -0.969 -7.246 6.139
Th -0.081 -2.868 2.197
Li -2.406 -3.501 4.461
Li 1.913 -7.908 0.883
In 1.115 -9.222 6.000
```

***

A plane-wave DFT calculation with PBE-GGA was carried out for a geometry-optimized LiThIn structure.

## Properties
energy above the most stable polymorph in this dataset	24	kJ/mol of formula units
SG	I4mm (107)

The structure in extended XYZ format:
```
3
Lattice="-1.800 -2.200 -1.876 2.606 -0.278 -2.175 1.898 -3.513 5.390" Properties=species:S:1:pos:R:3 pbc="T T T"
Li 1.413 -2.919 2.066
In 2.358 -5.277 0.834
Th 0.946 -2.361 -1.231
```

***

A plane-wave DFT calculation with PBE-GGA was carried out for a geometry-optimized Li4ThIn structure.

## Properties
SG	F-43m (216)
energy	-17.686	eV for the cell shown

The structure in extended XYZ format:
```
6
Lattice="-3.387 1.037 -4.303 -4.947 -2.546 -0.329 -4.689 2.909 0.782" Properties=species:S:1:pos:R:3 pbc="T T T"
Th -3.256 0.350 -0.962
Li -6.445 0.354 -0.239
Li -5.658 2.161 -2.244
Li -5.788 -0.591 -2.805
In 0.000 0.000 0.000
Li -8.154 0.877 -2.410
```

***

A plane-wave DFT calculation with PBE-GGA was carried out for a geometry-optimized Li4ThIn5 structure.

## Properties
SG	P4/mmm (123)
energy	-31.614	eV for the cell shown

The structure in extended XYZ format:
```
10
Lattice="3.510 0.000 0.000 0.000 3.510 0.000 0.000 0.000 17.331" Properties=species:S:1:pos:R:3 pbc="T T T"
Li 0.000 0.000 10.242
In 1.755 1.755 2.311
In 1.755 1.755 5.475
Li 0.000 0.000 7.090
In 1.755 1.755 15.020
Li 0.000 0.000 13.451
Li 0.000 0.000 3.881
Th 0.000 0.000 0.000
In 1.755 1.755 8.666
In 1.755 1.755 11.856
```

***

A plane-wave DFT calculation with PBE-GGA was carried out for a geometry-optimized Li2Th5In5 structure.

## Properties
SG	C2/m (12)
energy	-57.234	eV for the cell shown

The structure in extended XYZ format:
```
12
Lattice="4.831 0.000 1.090 2.555 8.301 -0.072 0.658 -1.318 8.333" Properties=species:S:1:pos:R:3 pbc="T T T"
Th 5.723 4.616 8.389
Li 3.597 2.654 6.560
Th 4.383 7.708 3.077
Th 3.662 -0.724 6.274
In 3.802 5.393 5.654
In 4.243 1.590 3.697
Li 4.447 4.329 2.791
Th 2.321 2.367 0.962
In 0.000 0.000 0.000
In 5.887 1.333 7.664
Th 1.607 3.492 4.130
In 2.158 5.650 1.687
```

***

A plane-wave DFT calculation with PBE-GGA was carried out for a geometry-optimized LiThIn structure.

## Properties
energy above the most stable polymorph in this dataset	10	kJ/mol of formula units
SG	Immm (71)

The structure in extended XYZ format:
```
6
Lattice="-1.126 -4.025 -2.824 -0.634 -0.867 5.993 -4.236 4.372 -0.037" Properties=species:S:1:pos:R:3 pbc="T T T"
In -4.182 1.462 -0.417
Li -4.175 -1.379 -0.875
Th -1.511 -0.131 0.789
Th -4.485 -0.389 2.342
Li -1.821 0.859 4.007
In -1.814 -1.982 3.548
```